[1]
# GGA-PBE Cd7C, optimized geometry
# ΔE_f = 663 meV per atom
data_Cd7C
_cell_length_a 6.1475
_cell_length_b 6.1475
_cell_length_c 6.1475
_cell_angle_alpha 60.00
_cell_angle_beta 60.00
_cell_angle_gamma 60.00
_symmetry_space_group_name_H-M 'P 1'
_symmetry_Int_Tables_number 1
loop_
_symmetry_equiv_pos_as_xyz
'x,y,z'
loop_
_atom_site_label
_atom_site_type_symbol
_atom_site_fract_x
_atom_site_fract_y
_atom_site_fract_z
Cd1 Cd 0.5000 0.5000 0.0000
Cd2 Cd 0.5000 0.0000 0.5000
Cd3 Cd 0.5000 0.0000 0.0000
Cd4 Cd 0.0000 0.0000 0.5000
Cd5 Cd 0.0000 0.5000 0.0000
Cd6 Cd 0.0000 0.5000 0.5000
Cd7 Cd 0.5000 0.5000 0.5000
C1 C 0.0000 0.0000 0.0000

[2]
# GGA-PBE Pm2Dy4In, optimized geometry
# ΔE to the lowest computed polymorph = 21.4 meV per atom
# ΔE_f = -47 meV per atom
data_Pm2Dy4In
_cell_length_a 10.7440
_cell_length_b 6.5047
_cell_length_c 6.2826
_cell_angle_alpha 89.99
_cell_angle_beta 90.00
_cell_angle_gamma 90.00
_symmetry_space_group_name_H-M 'P 1'
_symmetry_Int_Tables_number 1
loop_
_symmetry_equiv_pos_as_xyz
'x,y,z'
loop_
_atom_site_label
_atom_site_type_symbol
_atom_site_fract_x
_atom_site_fract_y
_atom_site_fract_z
Dy1 Dy 0.7502 0.7498 0.9014
Dy2 Dy 0.6542 0.5006 0.4318
Dy3 Dy 0.8458 0.0006 0.4318
Dy4 Dy 0.7498 0.2498 0.9014
Dy5 Dy 0.2502 0.7502 0.0986
Dy6 Dy 0.1542 0.9994 0.5682
Dy7 Dy 0.3458 0.4994 0.5682
Dy8 Dy 0.2498 0.2502 0.0986
In1 In 0.0000 0.0000 0.0000
In2 In 0.5000 0.5000 0.0000
Pm1 Pm 0.9579 0.5007 0.2556
Pm2 Pm 0.0421 0.4993 0.7444
Pm3 Pm 0.4579 0.9993 0.7444
Pm4 Pm 0.5421 0.0007 0.2556

[3]
# GGA-PBE RbI, optimized geometry
# formation energy (no corrections) = -1.449 eV per atom
data_RbI
_cell_length_a 12.5065
_cell_length_b 12.5065
_cell_length_c 7.3744
_cell_angle_alpha 90.00
_cell_angle_beta 90.00
_cell_angle_gamma 90.00
_symmetry_space_group_name_H-M 'P 1'
_symmetry_Int_Tables_number 1
loop_
_symmetry_equiv_pos_as_xyz
'x,y,z'
loop_
_atom_site_label
_atom_site_type_symbol
_atom_site_fract_x
_atom_site_fract_y
_atom_site_fract_z
Rb1 Rb 0.3524 0.8562 0.0000
Rb2 Rb 0.6476 0.1438 0.0000
Rb3 Rb 0.1438 0.3524 0.0000
Rb4 Rb 0.8562 0.6476 0.0000
Rb5 Rb 0.8524 0.3562 0.5000
Rb6 Rb 0.1475 0.6438 0.5000
Rb7 Rb 0.6438 0.8524 0.5000
Rb8 Rb 0.3562 0.1475 0.5000
I1 I 0.3538 0.1504 0.0000
I2 I 0.6462 0.8496 0.0000
I3 I 0.8496 0.3538 0.0000
I4 I 0.1504 0.6462 0.0000
I5 I 0.8538 0.6504 0.5000
I6 I 0.1462 0.3496 0.5000
I7 I 0.3496 0.8538 0.5000
I8 I 0.6504 0.1462 0.5000

no.,D(E_F) (states/eV/atom),magnetization (μB/f.u.)
1,0.471,0.2
2,1.254,0.0
3,0.000,0.0